(1)
Compound: ReMoBr2
Source: Alexandria via LeMat-Bulk
Functional: meta-GGA SCAN
Structure: single point on PBEsol structure

Properties
SG: P2/m (10)

Cell lengths 2.8620, 4.4384, 5.7273 Å; angles 90.00, 104.20, 90.00 degrees
Sites, in units of the cell vectors:
Br  0.1720  0.0000  0.2577
Br  0.8280  0.0000  0.7423
Re  0.0000  0.5000  0.0000
Mo  0.5000  0.5000  0.5000



(2)
Compound: ReMo2Br
Source: Alexandria via LeMat-Bulk
Functional: meta-GGA SCAN
Structure: single point on PBEsol structure

Properties
SG: Pmmm (47)

Cell lengths 3.0038, 4.5250, 4.5290 Å; angles 90.00, 90.00, 90.00 degrees
Sites, in units of the cell vectors:
Mo  0.5000  0.0000  0.5000
Br  0.0000  0.5000  0.5000
Re  0.5000  0.5000  0.0000
Mo  0.0000  0.0000  0.0000



(3)
Compound: ReMo2Br
Source: Alexandria via LeMat-Bulk
Functional: meta-GGA SCAN
Structure: single point on PBEsol structure

Properties
SG: Pmmm (47)

Cell lengths 3.0307, 3.8095, 6.1487 Å; angles 90.00, 90.00, 90.00 degrees
Sites, in units of the cell vectors:
Mo  0.0000  0.0000  0.8130
Re  0.5000  0.5000  0.0000
Mo  0.0000  0.0000  0.1870
Br  0.5000  0.5000  0.5000



(4)
Compound: ReMo2Br
Source: Alexandria via LeMat-Bulk
Functional: meta-GGA SCAN
Structure: single point on PBEsol structure

Properties
SG: Immm (71)

Cell lengths 2.9860, 4.5074, 5.2574 Å; angles 115.38, 106.50, 90.00 degrees
Sites, in units of the cell vectors:
Mo  0.2645  0.2645  0.5291
Re  0.5000  0.0000  0.0000
Br  0.0000  0.5000  0.0000
Mo  0.7355  0.7355  0.4709



Taking the records one at a time from the top gives VASP energy values of -34.826, -39.026, -39.393, -39.126 eV/atom.
Taking the records one at a time from the top gives ΔE_f (raw) values of 1.399, 1.056, 0.689, 0.956 eV/atom.